<1>
VASP calculation (PBE with a Hubbard U) on a geometry-optimized Mg2TeWO6 structure.

Results
Symmetry = P2_1/c (14)

Lattice parameters (Å, degrees): 5.116 5.237 10.420 90.00 114.84 90.00
Positions (direct):
Mg 0.237 0.037 0.252
Mg 0.237 0.463 0.752
Mg 0.763 0.537 0.248
Mg 0.763 0.963 0.748
Te 0.000 0.000 0.500
Te 0.000 0.500 0.000
W 0.500 0.000 0.000
W 0.500 0.500 0.500
O 0.170 0.111 0.834
O 0.170 0.389 0.334
O 0.269 0.667 0.585
O 0.269 0.833 0.085
O 0.454 0.191 0.601
O 0.454 0.309 0.101
O 0.546 0.691 0.899
O 0.546 0.809 0.399
O 0.731 0.167 0.915
O 0.731 0.333 0.415
O 0.830 0.611 0.666
O 0.830 0.889 0.166

<2>
VASP calculation (PBE with a Hubbard U) on a geometry-optimized Mg2TeWO6 structure.

Results
Symmetry = P1 (1)

Lattice parameters (Å, degrees): 5.593 5.626 5.928 112.61 90.05 107.30
Positions (direct):
Mg 0.000 0.000 0.000
Mg 0.452 0.638 0.095
Te 0.762 0.294 0.548
W 0.458 0.923 0.753
O 0.218 0.756 0.924
O 0.326 0.706 0.433
O 0.344 0.229 0.939
O 0.654 0.716 0.813
O 0.796 0.977 0.275
O 0.819 0.183 0.823

Pick the least stable structure from those above. Pick: <2>